Computed, not measured: a relaxed structure of Cd2HgGeRh at the PBE level of DFT.

a b c (Å): 5.306 5.306 4.620
angles (deg): 90.00 90.00 90.00
Element x y z (fractional)
Cd: 0.000 0.500 0.000
Cd: 0.500 0.000 0.000
Hg: 0.000 0.000 0.500
Ge: 0.500 0.500 0.500
Rh: 0.500 0.500 0.000

Computed properties:
- ρ: 7.672 g/cm³
- Spin magnetization: 0.000 μB/f.u.
- Total energy: -2.839 eV per atom
- ΔH_f (0 K): -2 kJ per mole of atoms